# 1
VASP calculation (meta-GGA SCAN) on a PBEsol-optimized structure of CrTeCl2.

```
data_CrTeCl2
_chemical_formula_sum 'Cr3 Te3 Cl6'
_cell_length_a 3.3543
_cell_length_b 3.3543
_cell_length_c 31.2113
_cell_angle_alpha 90.00
_cell_angle_beta 90.00
_cell_angle_gamma 120.00
_space_group_name_H-M_alt 'R -3 m'
_space_group_IT_number 166
_space_group_name_Hall '-R 3 2"'
loop_
_atom_site_label
_atom_site_type_symbol
_atom_site_fract_x
_atom_site_fract_y
_atom_site_fract_z
Cr1 Cr 0.0000 0.0000 0.0000
Te1 Te 0.0000 0.0000 0.5000
Cl1 Cl 0.0000 0.0000 0.3798
```

DFT total energy: -18.6416 eV per atom
Excess energy over the best structure of this formula in the dataset: 71 meV/atom
ΔE_f (raw): -0.744 eV per atom
Total magnetic moment: 11.3 μB/cell



# 2
VASP calculation (meta-GGA SCAN) on a PBEsol-optimized structure of TlCrCl2.

```
data_TlCrCl2
_chemical_formula_sum 'Tl1 Cr1 Cl2'
_cell_length_a 5.0234
_cell_length_b 5.0234
_cell_length_c 3.5439
_cell_angle_alpha 90.00
_cell_angle_beta 90.00
_cell_angle_gamma 90.00
_space_group_name_H-M_alt 'P 4/m m m'
_space_group_IT_number 123
_space_group_name_Hall '-P 4 2'
loop_
_atom_site_label
_atom_site_type_symbol
_atom_site_fract_x
_atom_site_fract_y
_atom_site_fract_z
Tl1 Tl 0.0000 0.0000 0.0000
Cr1 Cr 0.5000 0.5000 0.0000
Cl1 Cl 0.0000 0.5000 0.5000
```

DFT total energy: -27.2591 eV per atom
Excess energy over the best structure of this formula in the dataset: 287 meV/atom
ΔE_f (raw): -0.584 eV per atom
Total magnetic moment: 5.0 μB/cell



# 3
VASP calculation (meta-GGA SCAN) on a PBEsol-optimized structure of TlCrCl3.

```
data_TlCrCl3
_chemical_formula_sum 'Tl1 Cr1 Cl3'
_cell_length_a 5.3247
_cell_length_b 5.3247
_cell_length_c 5.3247
_cell_angle_alpha 90.00
_cell_angle_beta 90.00
_cell_angle_gamma 90.00
_space_group_name_H-M_alt 'P m -3 m'
_space_group_IT_number 221
_space_group_name_Hall '-P 4 2 3'
loop_
_atom_site_label
_atom_site_type_symbol
_atom_site_fract_x
_atom_site_fract_y
_atom_site_fract_z
Tl1 Tl 0.0000 0.0000 0.0000
Cr1 Cr 0.5000 0.5000 0.5000
Cl1 Cl 0.0000 0.0000 0.5000
```

DFT total energy: -23.2016 eV per atom
Excess energy over the best structure of this formula in the dataset: 1007 meV/atom
ΔE_f (raw): -0.266 eV per atom
Total magnetic moment: 5.0 μB/cell



# 4
VASP calculation (meta-GGA SCAN) on a PBEsol-optimized structure of TlCrCl2.

```
data_TlCrCl2
_chemical_formula_sum 'Tl2 Cr2 Cl4'
_cell_length_a 3.4474
_cell_length_b 6.1540
_cell_length_c 9.0752
_cell_angle_alpha 90.00
_cell_angle_beta 90.00
_cell_angle_gamma 90.00
_space_group_name_H-M_alt 'C m m m'
_space_group_IT_number 65
_space_group_name_Hall '-C 2 2'
loop_
_atom_site_label
_atom_site_type_symbol
_atom_site_fract_x
_atom_site_fract_y
_atom_site_fract_z
Tl1 Tl 0.0000 0.0000 0.0000
Cr1 Cr 0.0000 0.0000 0.5000
Cl1 Cl 0.0000 0.5000 0.3204
```

DFT total energy: -27.5459 eV per atom
Excess energy over the best structure of this formula in the dataset: 0 meV/atom
ΔE_f (raw): -0.871 eV per atom
Total magnetic moment: 8.6 μB/cell



# 5
VASP calculation (meta-GGA SCAN) on a PBEsol-optimized structure of TlCrCl3.

```
data_TlCrCl3
_chemical_formula_sum 'Tl1 Cr1 Cl3'
_cell_length_a 4.8564
_cell_length_b 4.8564
_cell_length_c 4.8564
_cell_angle_alpha 90.00
_cell_angle_beta 90.00
_cell_angle_gamma 90.00
_space_group_name_H-M_alt 'P m -3 m'
_space_group_IT_number 221
_space_group_name_Hall '-P 4 2 3'
loop_
_atom_site_label
_atom_site_type_symbol
_atom_site_fract_x
_atom_site_fract_y
_atom_site_fract_z
Tl1 Tl 0.0000 0.0000 0.0000
Cr1 Cr 0.5000 0.5000 0.5000
Cl1 Cl 0.0000 0.5000 0.5000
```

DFT total energy: -24.2082 eV per atom
Excess energy over the best structure of this formula in the dataset: 0 meV/atom
ΔE_f (raw): -1.273 eV per atom
Total magnetic moment: 4.0 μB/cell



# 6
VASP calculation (meta-GGA SCAN) on a PBEsol-optimized structure of CrW2Cl.

```
data_CrW2Cl
_chemical_formula_sum 'Cr1 W2 Cl1'
_cell_length_a 2.8860
_cell_length_b 2.8860
_cell_length_c 6.8238
_cell_angle_alpha 90.00
_cell_angle_beta 90.00
_cell_angle_gamma 90.00
_space_group_name_H-M_alt 'P 4/m m m'
_space_group_IT_number 123
_space_group_name_Hall '-P 4 2'
loop_
_atom_site_label
_atom_site_type_symbol
_atom_site_fract_x
_atom_site_fract_y
_atom_site_fract_z
Cr1 Cr 0.0000 0.0000 0.0000
W1 W 0.5000 0.5000 0.2260
Cl1 Cl 0.0000 0.0000 0.5000
```

DFT total energy: -40.8110 eV per atom
Excess energy over the best structure of this formula in the dataset: 153 meV/atom
ΔE_f (raw): 0.624 eV per atom
Total magnetic moment: 0.0 μB/cell



excess energy over the best structure of this formula in the dataset of number 1 (CrTeCl2)?
71 meV/atom



Repeat the first record exactly.
VASP calculation (meta-GGA SCAN) on a PBEsol-optimized structure of CrTeCl2.

```
data_CrTeCl2
_chemical_formula_sum 'Cr3 Te3 Cl6'
_cell_length_a 3.3543
_cell_length_b 3.3543
_cell_length_c 31.2113
_cell_angle_alpha 90.00
_cell_angle_beta 90.00
_cell_angle_gamma 120.00
_space_group_name_H-M_alt 'R -3 m'
_space_group_IT_number 166
_space_group_name_Hall '-R 3 2"'
loop_
_atom_site_label
_atom_site_type_symbol
_atom_site_fract_x
_atom_site_fract_y
_atom_site_fract_z
Cr1 Cr 0.0000 0.0000 0.0000
Te1 Te 0.0000 0.0000 0.5000
Cl1 Cl 0.0000 0.0000 0.3798
```

DFT total energy: -18.6416 eV per atom
Excess energy over the best structure of this formula in the dataset: 71 meV/atom
ΔE_f (raw): -0.744 eV per atom
Total magnetic moment: 11.3 μB/cell



Copy entry 6 word for word.
VASP calculation (meta-GGA SCAN) on a PBEsol-optimized structure of CrW2Cl.

```
data_CrW2Cl
_chemical_formula_sum 'Cr1 W2 Cl1'
_cell_length_a 2.8860
_cell_length_b 2.8860
_cell_length_c 6.8238
_cell_angle_alpha 90.00
_cell_angle_beta 90.00
_cell_angle_gamma 90.00
_space_group_name_H-M_alt 'P 4/m m m'
_space_group_IT_number 123
_space_group_name_Hall '-P 4 2'
loop_
_atom_site_label
_atom_site_type_symbol
_atom_site_fract_x
_atom_site_fract_y
_atom_site_fract_z
Cr1 Cr 0.0000 0.0000 0.0000
W1 W 0.5000 0.5000 0.2260
Cl1 Cl 0.0000 0.0000 0.5000
```

DFT total energy: -40.8110 eV per atom
Excess energy over the best structure of this formula in the dataset: 153 meV/atom
ΔE_f (raw): 0.624 eV per atom
Total magnetic moment: 0.0 μB/cell